No. 1
# RbNaSrBi

RbNaSrBi after structural relaxation (PBE, Alexandria).

The space group is F-43m (No. 216) and the conventional cell measures 8.588, 8.588 and 8.588 Å, with angles of 90.00, 90.00 and 90.00 degrees. The distinct sites, in fractional coordinates, are Rb at (0.000, 0.000, 0.000), Na at (0.250, 0.250, 0.750), Sr at (0.000, 0.000, 0.500) and Bi at (0.250, 0.250, 0.250).

As for the formation energy from the elements: -0.32 eV/atom. The calculation puts the mass density at 4.248 Mg/m³. The value obtained for the density of states at the Fermi level is 6.08 states/eV/cell.

***

No. 2
# CaTlCr2

CaTlCr2 after structural relaxation (PBE, Alexandria).

The space group is Fm-3m (No. 225) and the conventional cell measures 7.063, 7.063 and 7.063 Å, with angles of 90.00, 90.00 and 90.00 degrees. The distinct sites, in fractional coordinates, are Ca at (0.000, 0.000, 0.000), Tl at (0.000, 0.000, 0.500) and Cr at (0.250, 0.250, 0.250).

As for the formation energy from the elements: 0.56 eV/atom. The calculation puts the offset from the most stable computed form at 283.8 meV per atom. The calculation puts the mass density at 6.569 Mg/m³. The value obtained for the density of states at the Fermi level is 7.11 states/eV/cell.

***

No. 3
# RbGeBi2

RbGeBi2 after structural relaxation (PBE, Alexandria).

The space group is P4/mmm (No. 123) and the conventional cell measures 4.221, 4.221 and 7.800 Å, with angles of 90.00, 90.00 and 90.00 degrees. The distinct sites, in fractional coordinates, are Rb at (0.000, 0.000, 0.000), Ge at (0.000, 0.000, 0.500) and Bi at (0.500, 0.500, 0.315).

As for the formation energy from the elements: 0.02 eV/atom. The calculation puts the mass density at 6.884 Mg/m³. The value obtained for the density of states at the Fermi level is 0.89 states/eV/cell.

***

No. 4
# PrSmDySn

PrSmDySn after structural relaxation (PBE, Alexandria).

The space group is F-43m (No. 216) and the conventional cell measures 7.811, 7.811 and 7.811 Å, with angles of 90.00, 90.00 and 90.00 degrees. The distinct sites, in fractional coordinates, are Pr at (0.000, 0.000, 0.000), Sm at (0.000, 0.000, 0.500), Dy at (0.250, 0.250, 0.250) and Sn at (0.250, 0.250, 0.750).

As for the formation energy from the elements: -0.26 eV/atom. The calculation puts the mass density at 7.978 Mg/m³. The value obtained for the density of states at the Fermi level is 27.21 states/eV/cell.

***

No. 5
# BeAl2Sb

BeAl2Sb after structural relaxation (PBE, Alexandria).

The space group is P4/mmm (No. 123) and the conventional cell measures 3.843, 3.843 and 4.864 Å, with angles of 90.00, 90.00 and 90.00 degrees. The distinct sites, in fractional coordinates, are Be at (0.000, 0.000, 0.000), Al at (0.000, 0.500, 0.500) and Sb at (0.500, 0.500, 0.000).

The calculation puts the offset from the most stable computed form at 132.9 meV per atom. As for the raw formation energy: 0.39 eV/atom. The calculation puts the mass density at 4.270 Mg/m³. The value obtained for the density of states at the Fermi level is 1.98 states/eV/cell.

***

No. 6
# PaZn5Pd4

PaZn5Pd4 after structural relaxation (PBE, Alexandria).

The space group is P4/mmm (No. 123) and the conventional cell measures 3.117, 3.117 and 16.139 Å, with angles of 90.00, 90.00 and 90.00 degrees. The distinct sites, in fractional coordinates, are Pa at (0.000, 0.000, 0.000), Zn at (0.500, 0.500, 0.133), Zn at (0.500, 0.500, 0.314), Zn at (0.500, 0.500, 0.500), Pd at (0.000, 0.000, 0.222) and Pd at (0.000, 0.000, 0.408).

As for the formation energy from the elements: -0.45 eV/atom. The calculation puts the mass density at 10.415 Mg/m³. The value obtained for the density of states at the Fermi level is 3.69 states/eV/cell.